Record 1
Here is a crystal of La6Al7 relaxed with PBEsol from Alexandria via LeMat-Bulk. Energies are from meta-GGA SCAN.

Structure (extended XYZ):
```
13
Lattice="2.8955 1.6717 10.8528 -2.8955 1.6717 10.8528 0.0000 -3.3434 10.8528" Properties=species:S:1:pos:R:3 pbc="T T T"
La 0.0000 0.0000 1.7246
La 0.0000 0.0000 4.7573
La 0.0000 0.0000 10.9173
La 0.0000 0.0000 21.6412
La 0.0000 0.0000 27.8011
La 0.0000 0.0000 30.8338
Al -1.4688 -0.8480 13.9869
Al 0.0000 -1.6960 18.5716
Al -1.4688 0.8480 18.5716
Al 0.0000 0.0000 16.2792
Al 1.4688 -0.8480 13.9869
Al 0.0000 1.6960 13.9869
Al 1.4688 0.8480 18.5716
```

Results
The total moment comes out at 0.0 μB per formula unit. For the density, the calculation gives 5.4 Mg/m³. As for the energy of formation: -0.415 eV/atom. The value obtained for the uncorrected energy is -24.48 eV per atom.

Record 2
Here is a crystal of RbCdSiAg2 relaxed with PBEsol from Alexandria via LeMat-Bulk. Energies are from meta-GGA SCAN.

Structure (extended XYZ):
```
5
Lattice="4.8337 0.0000 0.0000 0.0000 4.8337 0.0000 0.0000 0.0000 6.2838" Properties=species:S:1:pos:R:3 pbc="T T T"
Rb 0.0000 0.0000 0.0000
Cd 2.4168 2.4168 0.0000
Si 0.0000 0.0000 3.1419
Ag 0.0000 2.4168 3.1419
Ag 2.4168 0.0000 3.1419
```

Results
The total moment comes out at 0.0 μB per formula unit. For the density, the calculation gives 5.0 Mg/m³. Its energy relative to the elements, uncorrected is 2.05 eV per formula unit. The value obtained for the uncorrected energy is -24.37 eV per atom.

Record 3
Here is a crystal of Sc2CuPb relaxed with PBEsol from Alexandria via LeMat-Bulk. Energies are from meta-GGA SCAN.

Structure (extended XYZ):
```
4
Lattice="3.3749 0.0000 0.0000 0.0000 3.3749 0.0000 0.0000 0.0000 7.0025" Properties=species:S:1:pos:R:3 pbc="T T T"
Sc 0.0000 0.0000 1.5109
Sc 0.0000 0.0000 5.4916
Cu 1.6875 1.6875 0.0000
Pb 1.6875 1.6875 3.5013
```

Results
The total moment comes out at 0.0 μB per formula unit. For the density, the calculation gives 7.5 Mg/m³. As for the energy of formation: -0.416 eV/atom. The value obtained for the uncorrected energy is -30.28 eV per atom.

Record 4
Here is a crystal of SrLi2Ag relaxed with PBEsol from Alexandria via LeMat-Bulk. Energies are from meta-GGA SCAN.

Structure (extended XYZ):
```
4
Lattice="2.2862 1.3199 5.5212 -2.2862 1.3199 5.5212 0.0000 -2.6399 5.5212" Properties=species:S:1:pos:R:3 pbc="T T T"
Sr 0.0000 0.0000 0.0000
Li 0.0000 0.0000 3.3274
Li 0.0000 0.0000 13.2362
Ag 0.0000 0.0000 8.2818
```

Results
The total moment comes out at 0.0 μB per formula unit. For the density, the calculation gives 3.5 Mg/m³. As for the energy of formation: -0.118 eV/atom. The value obtained for the uncorrected energy is -14.72 eV per atom.

Record 5
Here is a crystal of Ga2Cu3Se6O18 relaxed with PBEsol from Alexandria via LeMat-Bulk. Energies are from meta-GGA SCAN.

Structure (extended XYZ):
```
58
Lattice="12.3362 0.0000 0.0000 0.0000 8.0772 0.0000 -0.7817 0.0000 7.4831" Properties=species:S:1:pos:R:3 pbc="T T T"
Ga 1.8821 0.0536 2.7708
Ga 1.4913 3.9851 6.5123
Ga 10.0632 4.0922 0.9708
Ga 9.6724 8.0237 4.7123
Cu 4.6158 5.0344 0.9747
Cu 4.2249 7.0815 4.7163
Cu 6.1681 0.0000 0.0000
Cu 5.7773 4.0386 3.7415
Cu 7.3296 0.9958 2.7668
Cu 6.9388 3.0428 6.5084
Se 0.0182 1.5778 4.8124
Se 0.4091 2.4608 1.0708
Se 2.2937 4.7645 3.3321
Se 1.9028 7.3514 7.0737
Se 4.5656 1.5457 2.2916
Se 4.1747 2.4930 6.0332
Se 7.3798 5.5843 1.4499
Se 6.9889 6.5316 5.1915
Se 9.6517 0.7258 0.4094
Se 9.2608 3.3128 4.1510
Se 11.1454 5.6164 6.4123
Se 11.5363 6.4994 2.6707
O 0.1226 4.9061 5.5140
O 0.5134 7.2097 1.7724
O 0.9039 0.1368 4.4440
O 1.2948 3.9018 0.7025
O 1.3683 1.9323 2.4029
O 0.9775 2.1063 6.1444
O 2.3482 5.6673 7.3842
O 2.7391 6.4485 3.6426
O 2.6362 4.0708 4.8734
O 3.0271 8.0451 1.1318
O 3.6104 0.7965 3.5055
O 3.2195 3.2421 7.2470
O 3.7189 4.2145 2.5572
O 3.3280 7.9014 6.2987
O 5.7490 0.2816 1.8839
O 5.3582 3.7570 5.6255
O 5.7203 5.9251 4.0799
O 6.1111 6.1908 0.3383
O 5.4434 1.8865 7.1448
O 5.8342 2.1522 3.4032
O 6.1963 4.3202 1.8576
O 5.8055 7.7956 5.5992
O 8.2265 0.1759 1.1844
O 7.8356 3.8628 4.9259
O 8.3350 4.8351 0.2361
O 7.9442 7.2808 3.9776
O 8.5275 0.0321 6.3513
O 8.9183 4.0065 2.6097
O 8.8154 1.6287 3.8405
O 9.2063 2.4099 0.0989
O 10.5770 5.9709 1.3387
O 10.1862 6.1449 5.0802
O 10.2597 4.1754 6.7806
O 10.6506 7.9404 3.0391
O 11.0411 0.8675 5.7107
O 11.4319 3.1711 1.9691
```

Results
The total moment comes out at 1.0 μB per formula unit. For the density, the calculation gives 4.9 Mg/m³. Its energy relative to the elements, uncorrected is -30.90 eV per formula unit. The value obtained for the uncorrected energy is -11.79 eV per atom.

Record 6
Here is a crystal of Y2RuRh relaxed with PBEsol from Alexandria via LeMat-Bulk. Energies are from meta-GGA SCAN.

Structure (extended XYZ):
```
4
Lattice="0.0000 3.3599 3.3599 3.3599 0.0000 3.3599 3.3599 3.3599 0.0000" Properties=species:S:1:pos:R:3 pbc="T T T"
Y 1.6799 1.6799 1.6799
Y 5.0398 5.0398 5.0398
Ru 0.0000 0.0000 0.0000
Rh 3.3599 3.3599 3.3599
```

Results
The total moment comes out at 0.0 μB per formula unit. For the density, the calculation gives 8.4 Mg/m³. As for the energy of formation: -0.684 eV/atom. The value obtained for the uncorrected energy is -31.76 eV per atom.

Record 7
Here is a crystal of Ba2FeAg relaxed with PBEsol from Alexandria via LeMat-Bulk. Energies are from meta-GGA SCAN.

Structure (extended XYZ):
```
4
Lattice="2.2412 1.2939 8.3073 -2.2412 1.2939 8.3073 0.0000 -2.5879 8.3073" Properties=species:S:1:pos:R:3 pbc="T T T"
Ba 0.0000 0.0000 0.0000
Ba 0.0000 0.0000 4.3557
Fe 0.0000 0.0000 18.7976
Ag 0.0000 0.0000 10.4809
```

Results
The total moment comes out at 3.3 μB per formula unit. As for the energy above the most stable polymorph in this dataset: 0.00 eV/f.u. For the density, the calculation gives 5.0 Mg/m³. As for the energy of formation: 0.169 eV/atom. The value obtained for the uncorrected energy is -31.98 eV per atom.

Record 8
Here is a crystal of TcSb5 relaxed with PBEsol from Alexandria via LeMat-Bulk. Energies are from meta-GGA SCAN.

Structure (extended XYZ):
```
6
Lattice="6.6383 -1.6305 0.0000 6.6383 1.6305 0.0000 -3.0317 0.0000 7.2715" Properties=species:S:1:pos:R:3 pbc="T T T"
Tc 0.0000 0.0000 0.0000
Sb 2.1622 0.0000 5.6048
Sb 4.7888 0.0000 1.3538
Sb 7.4686 0.0000 2.3973
Sb 5.7809 0.0000 7.0610
Sb 11.2423 0.0000 4.6050
```

Results
The total moment comes out at 0.0 μB per formula unit. As for the energy above the most stable polymorph in this dataset: 0.00 eV/f.u. For the density, the calculation gives 7.5 Mg/m³. Its energy relative to the elements, uncorrected is 0.66 eV per formula unit. The value obtained for the uncorrected energy is -36.78 eV per atom.

Record 9
Here is a crystal of Sb2AsIr relaxed with PBEsol from Alexandria via LeMat-Bulk. Energies are from meta-GGA SCAN.

Structure (extended XYZ):
```
4
Lattice="4.9792 0.0000 0.0000 0.0000 4.9792 0.0000 0.0000 0.0000 3.1603" Properties=species:S:1:pos:R:3 pbc="T T T"
Sb 0.0000 2.4896 0.0000
Sb 2.4896 0.0000 0.0000
As 0.0000 0.0000 1.5802
Ir 2.4896 2.4896 1.5802
```

Results
The total moment comes out at 0.0 μB per formula unit. As for the energy above the most stable polymorph in this dataset: 1.94 eV/f.u. For the density, the calculation gives 10.8 Mg/m³. Its energy relative to the elements, uncorrected is 2.04 eV per formula unit. The value obtained for the uncorrected energy is -40.94 eV per atom.

Record 10
Here is a crystal of KRb2SiAg relaxed with PBEsol from Alexandria via LeMat-Bulk. Energies are from meta-GGA SCAN.

Structure (extended XYZ):
```
5
Lattice="6.3715 0.0000 0.0000 0.0000 6.3715 0.0000 0.0000 0.0000 6.1452" Properties=species:S:1:pos:R:3 pbc="T T T"
K 0.0000 0.0000 0.0000
Rb 0.0000 3.1858 3.0726
Rb 3.1858 0.0000 3.0726
Si 3.1858 3.1858 0.0000
Ag 0.0000 0.0000 3.0726
```

Results
The total moment comes out at 2.0 μB per formula unit. For the density, the calculation gives 2.3 Mg/m³. Its energy relative to the elements, uncorrected is 2.61 eV per formula unit. The value obtained for the uncorrected energy is -17.72 eV per atom.